1.
Material: LiNpZnN3
Method: DFT, PBE
State: optimized geometry

Summary:
**Calculated total energy**: -7.42 eV/atom
**ΔE_f (raw)**: -3.41 eV/f.u.
**Symmetry**: P2_1/m, No. 11
**Magnetic moment**: 1.00 μB/f.u.

```
LiNpZnN3
1.0
5.329 0.000 0.000
0.000 3.486 0.000
-0.666 0.000 7.775
Li Np Zn N
2 2 2 6
Cartesian
0.272 0.871 1.456
4.391 2.614 6.319
1.639 0.871 6.330
3.024 2.614 1.445
0.875 2.614 3.942
3.788 0.871 3.833
-0.042 0.871 5.174
0.938 2.614 7.564
2.198 0.871 2.491
2.465 2.614 5.284
3.725 0.871 0.211
4.705 2.614 2.601
```

2.
Material: ScAl2GaO6
Method: DFT, PBE
State: optimized geometry

Summary:
**Calculated total energy**: -7.46 eV/atom
**ΔE_f (raw)**: -28.01 eV/f.u.
**Symmetry**: C2/c, No. 15
**Magnetic moment**: 0.00 μB/f.u.

```
ScAl2GaO6
1.0
4.757 -4.507 0.000
4.757 4.507 0.000
-0.884 0.000 5.115
Sc Al Ga O
2 4 2 12
Cartesian
4.094 3.619 3.836
4.536 -3.619 1.279
2.324 0.805 3.599
2.766 -0.805 1.042
5.863 0.805 4.073
6.305 -0.805 1.516
4.536 1.955 1.279
4.094 -1.955 3.836
0.567 0.847 3.238
2.910 2.131 4.609
1.008 -0.847 0.681
3.108 0.691 1.976
5.278 2.131 3.063
2.666 -0.691 4.533
5.964 0.691 0.582
3.352 -2.131 2.052
5.522 -0.691 3.140
7.621 0.847 4.435
5.720 -2.131 0.506
8.063 -0.847 1.877
```

3.
Material: Mg3ZnCu
Method: DFT, PBE
State: optimized geometry

Summary:
**Calculated total energy**: -1.88 eV/atom
**E above lowest polymorph**: 0.492 eV/f.u.
**Symmetry**: Cmcm, No. 63
**Energy relative to the elements**: 0.1512 eV per atom
**Magnetic moment**: 0.00 μB/f.u.

```
Mg3ZnCu
1.0
3.654 -6.095 0.000
3.654 6.095 0.000
0.000 0.000 4.641
Mg Zn Cu
6 2 2
Cartesian
3.654 3.633 3.481
2.211 1.095 3.481
2.211 -1.095 1.160
5.096 1.095 3.481
5.096 -1.095 1.160
3.654 -3.633 1.160
0.000 0.000 0.000
0.000 0.000 2.321
3.654 1.813 1.160
3.654 -1.813 3.481
```

4.
Material: VMo3
Method: DFT, PBE
State: optimized geometry

Summary:
**Calculated total energy**: -10.12 eV/atom
**Symmetry**: Pmm2, No. 25
**Energy relative to the elements**: 0.2798 eV per atom
**Magnetic moment**: 0.00 μB/f.u.

```
VMo3
1.0
2.545 0.000 0.000
0.000 4.625 0.000
0.000 0.000 5.320
V Mo
1 3
Cartesian
0.000 0.000 0.000
0.000 2.312 1.503
1.272 0.000 2.681
1.272 2.312 4.211
```

5.
Material: LaPaNi
Method: DFT, PBE
State: optimized geometry

Summary:
**Calculated total energy**: -6.84 eV/atom
**E above lowest polymorph**: 0.013 eV/f.u.
**Symmetry**: P4/nmm, No. 129
**Energy relative to the elements**: -0.1030 eV per atom
**Magnetic moment**: 0.00 μB/f.u.

```
LaPaNi
1.0
4.437 0.000 0.000
0.000 4.437 0.000
0.000 0.000 7.384
La Pa Ni
2 2 2
Cartesian
1.109 1.109 0.821
3.328 3.328 6.564
1.109 3.328 3.692
3.328 1.109 3.692
1.109 1.109 5.430
3.328 3.328 1.954
```

6.
Material: BeHg2Te
Method: DFT, PBE
State: optimized geometry

Summary:
**Calculated total energy**: -1.65 eV/atom
**E above lowest polymorph**: 1.016 eV/f.u.
**ΔE_f (raw)**: 0.88 eV/f.u.
**Symmetry**: Imm2, No. 44
**Magnetic moment**: 0.00 μB/f.u.

```
BeHg2Te
1.0
3.783 0.000 0.000
0.000 7.264 0.000
0.000 0.000 8.370
Be Hg Te
2 4 2
Cartesian
0.000 0.000 0.000
1.891 3.632 4.185
0.000 0.000 4.116
0.000 3.632 2.324
1.891 0.000 6.509
1.891 3.632 8.301
0.000 3.632 5.592
1.891 0.000 1.407
```

7.
Material: Sc2AlCu
Method: DFT, PBE
State: optimized geometry

Summary:
**Calculated total energy**: -5.21 eV/atom
**Symmetry**: R-3m, No. 166
**Energy relative to the elements**: -0.0831 eV per atom
**Magnetic moment**: 0.00 μB/f.u.

```
Sc2AlCu
1.0
3.249 0.000 0.000
-1.624 2.814 0.000
0.000 0.000 26.117
Sc Al Cu
6 3 3
Cartesian
0.000 0.000 6.396
0.000 0.000 19.721
0.000 1.876 11.015
0.000 1.876 23.808
1.624 0.938 2.309
1.624 0.938 15.102
0.000 0.000 0.000
0.000 1.876 17.411
1.624 0.938 8.706
0.000 0.000 13.058
0.000 1.876 4.353
1.624 0.938 21.764
```

8.
Material: CsTe2Au
Method: DFT, PBE
State: optimized geometry

Summary:
**Calculated total energy**: -3.12 eV/atom
**ΔE_f (raw)**: -2.07 eV/f.u.
**Symmetry**: C2/c, No. 15
**Magnetic moment**: 0.00 μB/f.u.

```
CsTe2Au
1.0
11.151 0.000 0.000
0.000 10.777 0.000
-2.424 0.000 5.478
Cs Te Au
4 8 4
Cartesian
-0.606 1.922 1.370
-1.818 8.855 4.109
3.758 3.466 4.109
4.969 7.310 1.370
2.480 4.025 0.421
1.268 6.751 3.160
0.672 1.363 5.058
1.884 9.414 2.318
6.843 1.363 3.160
8.055 9.414 0.421
7.459 4.025 2.318
6.247 6.751 5.058
-1.818 4.382 4.109
-0.606 6.395 1.370
4.969 1.006 1.370
3.758 9.770 4.109
```